DFT (PBE) results for Rb2Ca2Sc after structural relaxation.

Calculated values
The calculation puts the density of states at the Fermi level at 9.7 states/eV/f.u. For the energy above the lowest structure with this stoichiometry, the calculation gives 0 meV per atom. The crystal system is tetragonal.

```
Rb2Ca2Sc
1.0
8.9191 0.0000 0.0000
0.0000 8.9191 0.0000
0.0000 0.0000 7.0128
Rb Ca Sc
4 4 2
Direct
0.3232 0.1768 0.5000
0.1768 0.6768 0.5000
0.8232 0.3232 0.5000
0.6768 0.8232 0.5000
0.3498 0.8498 0.0000
0.8498 0.6502 0.0000
0.1502 0.3498 0.0000
0.6502 0.1502 0.0000
0.0000 0.0000 0.0000
0.5000 0.5000 0.0000
```